Material: YCoRe2
Method: DFT, GGA-PBE
State: relaxed

Properties
Symmetry   Cm
Density of states at the Fermi level   3.9 states/eV/cell
Formation energy   355 meV per atom
Size of the total moment   0.17 μB per formula unit

Cell lengths 4.646, 4.646, 5.452 Å; angles 79.60, 79.60, 37.24 degrees
Last column: magnetic moment on the atom in μB.
Positions (direct):
Co  0.734  0.734  0.795  0.21
Re  0.009  0.009  0.016  0.00
Re  0.266  0.266  0.161  -0.01
Y  0.491  0.491  0.528  -0.02

***

Material: ZnCoRe2
Method: DFT, GGA-PBE
State: relaxed

Properties
Symmetry   Cm
Density of states at the Fermi level   4.0 states/eV/cell
Formation energy   196 meV per atom
Size of the total moment   0.00 μB per formula unit

Cell lengths 4.687, 4.687, 4.713 Å; angles 81.07, 81.07, 32.49 degrees
Positions (direct):
Co  0.259  0.259  0.271
Re  0.986  0.986  0.990
Re  0.747  0.747  0.763
Zn  0.508  0.508  0.476

***

Material: ZnCoRe2
Method: DFT, GGA-PBE
State: relaxed

Properties
Symmetry   R-3m
Density of states at the Fermi level   2.8 states/eV/cell
Formation energy   190 meV per atom
Size of the total moment   0.52 μB per formula unit

Cell lengths 8.842, 8.842, 8.842 Å; angles 17.61, 17.61, 17.61 degrees
Last column: magnetic moment on the atom in μB.
Positions (direct):
Co  0.250  0.250  0.250  0.59
Re  0.995  0.995  0.995  -0.03
Re  0.505  0.505  0.505  -0.03
Zn  0.750  0.750  0.750  0.00

***

What did the first record say?
Material: YCoRe2
Method: DFT, GGA-PBE
State: relaxed

Properties
Symmetry   Cm
Density of states at the Fermi level   3.9 states/eV/cell
Formation energy   355 meV per atom
Size of the total moment   0.17 μB per formula unit

Cell lengths 4.646, 4.646, 5.452 Å; angles 79.60, 79.60, 37.24 degrees
Last column: magnetic moment on the atom in μB.
Positions (direct):
Co  0.734  0.734  0.795  0.21
Re  0.009  0.009  0.016  0.00
Re  0.266  0.266  0.161  -0.01
Y  0.491  0.491  0.528  -0.02

***

> Number 1 is which compound?

YCoRe2

***

Repeat the second record exactly.
Material: ZnCoRe2
Method: DFT, GGA-PBE
State: relaxed

Properties
Symmetry   Cm
Density of states at the Fermi level   4.0 states/eV/cell
Formation energy   196 meV per atom
Size of the total moment   0.00 μB per formula unit

Cell lengths 4.687, 4.687, 4.713 Å; angles 81.07, 81.07, 32.49 degrees
Positions (direct):
Co  0.259  0.259  0.271
Re  0.986  0.986  0.990
Re  0.747  0.747  0.763
Zn  0.508  0.508  0.476

***

> The highest formation energy belongs to which entry?

YCoRe2